A plane-wave DFT calculation with PBE-GGA was carried out for a relaxed Zr2FeNi crystal.

Properties
The energy relative to the lowest polymorph listed for this composition comes out at 0.215 eV per atom. The value obtained for the formation energy is -53 meV/atom. The magnetization is 0.92 μB per formula unit. Its symmetry is No. 119.

a b c (Å): 5.285 5.285 5.285
angles (deg): 137.75 137.75 61.28
Each line ends with the local moment (μB).
Element x y z (fractional)
Zr1 0.250 0.750 0.500  -0.10
Zr2 0.000 0.000 0.000  -0.20
Fe1 0.500 0.500 0.000  1.32
Ni1 0.750 0.250 0.500  0.01